Co6P7O24 (PBE with a Hubbard U, optimized geometry); raw total energy = -6.91 eV per atom; SG = No. 11; calculated volume = 873.4 Å³/cell
1.0
5.330 0.000 0.000
0.000 26.859 0.000
-1.866 0.000 6.101
Co P O
12 14 48
direct
0.155 0.186 0.271 Co
0.155 0.314 0.271 Co
0.170 0.600 0.090 Co
0.170 0.900 0.090 Co
0.240 0.054 0.692 Co
0.240 0.446 0.692 Co
0.760 0.554 0.308 Co
0.760 0.946 0.308 Co
0.830 0.100 0.910 Co
0.830 0.400 0.910 Co
0.845 0.686 0.729 Co
0.845 0.814 0.729 Co
0.284 0.169 0.800 P
0.284 0.331 0.800 P
0.296 0.609 0.631 P
0.296 0.891 0.631 P
0.313 0.027 0.204 P
0.313 0.473 0.204 P
0.419 0.750 0.907 P
0.581 0.250 0.093 P
0.687 0.527 0.796 P
0.687 0.973 0.796 P
0.704 0.109 0.369 P
0.704 0.391 0.369 P
0.716 0.669 0.200 P
0.716 0.831 0.200 P
0.099 0.165 0.945 O
0.099 0.335 0.945 O
0.119 0.596 0.399 O
0.119 0.904 0.399 O
0.127 0.626 0.779 O
0.127 0.874 0.779 O
0.128 0.750 0.791 O
0.146 0.049 0.984 O
0.146 0.451 0.984 O
0.160 0.193 0.581 O
0.160 0.307 0.581 O
0.182 0.033 0.384 O
0.182 0.467 0.384 O
0.381 0.250 0.223 O
0.394 0.527 0.176 O
0.394 0.973 0.176 O
0.409 0.555 0.734 O
0.409 0.945 0.734 O
0.431 0.120 0.790 O
0.431 0.380 0.790 O
0.470 0.703 0.066 O
0.470 0.797 0.066 O
0.482 0.143 0.365 O
0.482 0.357 0.365 O
0.518 0.643 0.635 O
0.518 0.857 0.635 O
0.530 0.203 0.934 O
0.530 0.297 0.934 O
0.569 0.620 0.210 O
0.569 0.880 0.210 O
0.591 0.055 0.266 O
0.591 0.445 0.266 O
0.606 0.027 0.824 O
0.606 0.473 0.824 O
0.619 0.750 0.777 O
0.818 0.533 0.616 O
0.818 0.967 0.616 O
0.840 0.693 0.419 O
0.840 0.807 0.419 O
0.854 0.549 0.016 O
0.854 0.951 0.016 O
0.872 0.250 0.209 O
0.873 0.126 0.221 O
0.873 0.374 0.221 O
0.881 0.096 0.601 O
0.881 0.404 0.601 O
0.901 0.665 0.055 O
0.901 0.835 0.055 O